Entry from the Alexandria database: a relaxed structure of Fe2CoSe (GGA-PBE).

energy relative to the elements, uncorrected	0.17	eV/atom
Fermi-level density of states	2.60	states/eV per cell
space group	Pmmm (47)

The structure in POSCAR format:
```
Fe2CoSe
1.0
3.104 0.000 0.000
0.000 4.018 0.000
0.000 0.000 4.084
Fe Co Se
2 1 1
direct
0.000 0.000 0.000
0.500 0.000 0.500
0.000 0.500 0.500
0.500 0.500 0.000
```


Entry from the Alexandria database: a relaxed structure of Ca2Ni10H (GGA-PBE).

polymorph energy (0 for the lowest one)	21	meV/atom
Fermi-level density of states	17.30	states/eV per cell
space group	P3m1 (156)

The structure in POSCAR format:
```
Ca2Ni10H
1.0
4.992 0.000 0.000
-2.496 4.323 0.000
0.000 0.000 7.932
Ca Ni H
2 10 1
direct
0.000 0.000 0.000
0.000 0.000 0.499
0.002 0.501 0.252
0.016 0.508 0.746
0.333 0.667 0.003
0.333 0.667 0.497
0.492 0.508 0.746
0.492 0.984 0.746
0.499 0.501 0.252
0.499 0.998 0.252
0.667 0.333 0.013
0.667 0.333 0.499
0.667 0.333 0.812
```


Entry from the Alexandria database: a relaxed structure of Hf2TcSe (GGA-PBE).

energy relative to the elements, uncorrected	0.32	eV/atom
Fermi-level density of states	5.64	states/eV per cell
space group	I-42d (122)

The structure in POSCAR format:
```
Hf2TcSe
1.0
-2.929 2.929 6.243
2.929 -2.929 6.243
2.929 2.929 -6.243
Hf Tc Se
4 2 2
direct
0.094 0.625 0.969
0.375 0.344 0.469
0.656 0.125 0.031
0.875 0.906 0.531
0.000 0.000 0.000
0.750 0.250 0.500
0.250 0.750 0.500
0.500 0.500 0.000
```


no.,magnetic moment (μB per atom),volume (Å³ per atom)
1,1.713,12.74
2,0.325,13.17
3,0.000,26.78